A relaxed POs crystal, computed with GGA-PBE.

Structure (POSCAR):
```
POs
1.0
0.000 2.620 2.620
2.620 0.000 2.620
2.620 2.620 0.000
P Os
1 1
Direct
0.000 0.000 0.000
0.750 0.750 0.750
```

Results
energy of formation from the pure elements: -0.0121 eV/atom
magnetic moment: 0.00 μB/f.u.
E: -8.33 eV/atom

=====

A relaxed Sn2WS crystal, computed with GGA-PBE.

Structure (POSCAR):
```
Sn2WS
1.0
-3.179 3.179 5.851
3.179 -3.179 5.851
3.179 3.179 -5.851
Sn W S
4 2 2
Direct
0.125 0.625 0.000
0.375 0.375 0.500
0.625 0.125 0.000
0.875 0.875 0.500
0.000 0.000 0.000
0.750 0.250 0.500
0.250 0.750 0.500
0.500 0.500 0.000
```

Results
formation energy without anion corrections: 21.82 kcal/mol of atoms
magnetic moment: 1.78 μB/f.u.
E: -5.33 eV/atom

=====

A relaxed Mg6Co6P crystal, computed with GGA-PBE.

Structure (POSCAR):
```
Mg6Co6P
1.0
5.015 0.000 0.000
-2.507 4.343 0.000
0.000 0.000 9.148
Mg Co P
6 6 1
Direct
0.000 0.000 0.177
0.000 0.000 0.823
0.333 0.667 0.000
0.333 0.667 0.500
0.667 0.333 0.000
0.667 0.333 0.500
0.000 0.500 0.252
0.000 0.500 0.748
0.500 0.000 0.252
0.500 0.000 0.748
0.500 0.500 0.252
0.500 0.500 0.748
0.000 0.000 0.500
```

Results
energy of formation from the pure elements: 0.1420 eV/atom
magnetic moment: 8.51 μB/f.u.
E: -4.29 eV/atom

=====

A relaxed ZnInRh crystal, computed with GGA-PBE.

Structure (POSCAR):
```
ZnInRh
1.0
3.051 0.000 0.000
-1.526 2.643 0.000
0.000 0.000 6.556
Zn In Rh
1 1 1
Direct
0.000 0.000 0.000
0.333 0.667 0.382
0.667 0.333 0.709
```

Results
energy of formation from the pure elements: -0.0447 eV/atom
magnetic moment: 0.00 μB/f.u.
E: -3.83 eV/atom

=====

A relaxed HfGeP2Cl crystal, computed with GGA-PBE.

Structure (POSCAR):
```
HfGeP2Cl
1.0
5.045 0.000 0.000
0.000 5.045 0.000
0.000 0.000 4.838
Hf Ge P Cl
1 1 2 1
Direct
0.000 0.000 0.000
0.500 0.500 0.500
0.000 0.500 0.000
0.500 0.000 0.000
0.000 0.000 0.500
```

Results
formation energy without anion corrections: 0.20 kcal/mol of atoms
magnetic moment: 0.00 μB/f.u.
E: -5.44 eV/atom

=====

A relaxed Ho4GaAgHg2 crystal, computed with GGA-PBE.

Structure (POSCAR):
```
Ho4GaAgHg2
1.0
2.583 1.491 8.444
-2.583 1.491 8.444
0.000 -2.982 8.444
Ho Ga Ag Hg
4 1 1 2
Direct
0.123 0.123 0.123
0.373 0.373 0.373
0.627 0.627 0.627
0.877 0.877 0.877
0.000 0.000 0.000
0.500 0.500 0.500
0.248 0.248 0.248
0.752 0.752 0.752
```

Results
energy of formation from the pure elements: -0.4561 eV/atom
magnetic moment: 0.00 μB/f.u.
E: -3.56 eV/atom

=====

A relaxed ZnCu4 crystal, computed with GGA-PBE.

Structure (POSCAR):
```
ZnCu4
1.0
2.616 0.000 0.000
-1.283 4.284 0.000
-1.297 -1.147 5.508
Zn Cu
1 4
Direct
0.000 0.000 0.000
0.197 0.799 0.596
0.401 0.599 0.203
0.599 0.401 0.797
0.803 0.201 0.404
```

Results
energy of formation from the pure elements: -0.0374 eV/atom
magnetic moment: 0.00 μB/f.u.
E: -3.57 eV/atom

=====

A relaxed HgOs2Se crystal, computed with GGA-PBE.

Structure (POSCAR):
```
HgOs2Se
1.0
-3.586 3.586 2.794
3.586 -3.586 2.794
3.586 3.586 -2.794
Hg Os Se
2 4 2
Direct
0.000 0.000 0.000
0.750 0.250 0.500
0.184 0.125 0.559
0.375 0.816 0.941
0.566 0.625 0.441
0.875 0.434 0.059
0.250 0.750 0.500
0.500 0.500 0.000
```

Results
formation energy without anion corrections: 26.00 kcal/mol of atoms
magnetic moment: 0.00 μB/f.u.
E: -5.43 eV/atom

=====

A relaxed Dy19Er6Sc4 crystal, computed with GGA-PBE.

Structure (POSCAR):
```
Dy19Er6Sc4
1.0
-6.136 6.136 6.136
6.136 -6.136 6.136
6.136 6.136 -6.136
Dy Er Sc
19 6 4
Direct
0.000 0.000 0.000
0.000 0.260 0.260
0.000 0.740 0.740
0.017 0.212 0.674
0.195 0.983 0.657
0.212 0.674 0.017
0.260 0.000 0.260
0.260 0.260 0.000
0.326 0.538 0.343
0.343 0.326 0.538
0.462 0.788 0.805
0.538 0.343 0.326
0.657 0.195 0.983
0.674 0.017 0.212
0.740 0.000 0.740
0.740 0.740 0.000
0.788 0.805 0.462
0.805 0.462 0.788
0.983 0.657 0.195
0.128 0.500 0.628
0.372 0.872 0.500
0.500 0.372 0.872
0.500 0.628 0.128
0.628 0.128 0.500
0.872 0.500 0.372
0.000 0.000 0.354
0.000 0.354 0.000
0.354 0.000 0.000
0.646 0.646 0.646
```

Results
energy of formation from the pure elements: 0.3870 eV/atom
magnetic moment: 0.00 μB/f.u.
E: -4.45 eV/atom

=====

A relaxed KNa2ZnF6 crystal, computed with GGA-PBE.

Structure (POSCAR):
```
KNa2ZnF6
1.0
5.737 0.000 0.000
0.000 6.194 0.000
-5.598 0.000 8.376
K Na Zn F
2 4 2 12
Direct
0.000 0.000 0.000
0.000 0.500 0.500
0.213 0.028 0.716
0.213 0.472 0.216
0.787 0.528 0.784
0.787 0.972 0.284
0.500 0.000 0.500
0.500 0.500 0.000
0.185 0.149 0.480
0.185 0.351 0.980
0.225 0.741 0.871
0.225 0.759 0.371
0.434 0.139 0.303
0.434 0.361 0.803
0.566 0.639 0.197
0.566 0.861 0.697
0.775 0.241 0.629
0.775 0.259 0.129
0.815 0.649 0.020
0.815 0.851 0.520
```

Results
formation energy without anion corrections: -54.56 kcal/mol of atoms
magnetic moment: 1.02 μB/f.u.
E: -3.99 eV/atom

=====

A relaxed KBaAs2 crystal, computed with GGA-PBE.

Structure (POSCAR):
```
KBaAs2
1.0
-2.378 2.378 5.402
2.378 -2.378 5.402
2.378 2.378 -5.402
K Ba As
1 1 2
Direct
0.000 0.000 0.000
0.750 0.250 0.500
0.250 0.750 0.500
0.500 0.500 0.000
```

Results
energy of formation from the pure elements: -0.2964 eV/atom
magnetic moment: 0.00 μB/f.u.
E: -3.38 eV/atom

=====

A relaxed Nd8Zn2Hg crystal, computed with GGA-PBE.

Structure (POSCAR):
```
Nd8Zn2Hg
1.0
9.036 -2.565 0.000
9.036 2.565 0.000
-2.655 0.000 7.191
Nd Zn Hg
8 2 1
Direct
0.035 0.035 0.263
0.193 0.193 0.800
0.326 0.326 0.532
0.410 0.410 0.040
0.590 0.590 0.960
0.674 0.674 0.468
0.807 0.807 0.200
0.965 0.965 0.737
0.188 0.188 0.183
0.812 0.812 0.817
0.500 0.500 0.500
```

Results
energy of formation from the pure elements: -0.1537 eV/atom
magnetic moment: 0.00 μB/f.u.
E: -3.88 eV/atom